Below is a relaxed structure of MgP2Pb, with properties calculated at the PBE level.

Cell and atoms, written as CIF:
```
data_MgP2Pb
_chemical_formula_sum 'Mg1 P2 Pb1'
_cell_length_a 3.874
_cell_length_b 4.040
_cell_length_c 5.536
_cell_angle_alpha 90.00
_cell_angle_beta 90.00
_cell_angle_gamma 90.00
_space_group_name_H-M_alt 'P m m m'
_space_group_IT_number 47
loop_
_space_group_symop_operation_xyz
'x,y,z'
'-x,-y,-z'
'-x,-y,z'
'x,y,-z'
'x,-y,-z'
'-x,y,z'
'-x,y,-z'
'x,-y,z'
loop_
_atom_site_label
_atom_site_type_symbol
_atom_site_fract_x
_atom_site_fract_y
_atom_site_fract_z
Mg1 Mg 0.000 0.000 0.000
P1 P 0.000 0.000 0.500
P2 P 0.500 0.500 0.000
Pb1 Pb 0.500 0.500 0.500
```

* DOS(E_F): 0.6284 states/eV per atom
* total energy: -4.016 eV per atom

Below is a relaxed structure of CeThBiP, with properties calculated at the PBE level.

Cell and atoms, written as CIF:
```
data_CeThBiP
_chemical_formula_sum 'Ce3 Th3 Bi3 P3'
_cell_length_a 4.2224
_cell_length_b 4.2224
_cell_length_c 22.7532
_cell_angle_alpha 90.00
_cell_angle_beta 90.00
_cell_angle_gamma 120.00
_space_group_name_H-M_alt 'R 3 m'
_space_group_IT_number 160
_space_group_name_Hall 'R 3 -2"'
loop_
_atom_site_label
_atom_site_type_symbol
_atom_site_fract_x
_atom_site_fract_y
_atom_site_fract_z
Ce1 Ce 0.0000 0.0000 0.0000
Th1 Th 0.0000 0.0000 0.8054
Bi1 Bi 0.0000 0.0000 0.2367
P1 P 0.0000 0.0000 0.4039
```

* DOS(E_F): 1.6489 states/eV per atom
* total energy: -6.703 eV per atom

Below is a relaxed structure of Tc2SnPb, with properties calculated at the PBE level.

Cell and atoms, written as CIF:
```
data_Tc2SnPb
_chemical_formula_sum 'Tc8 Sn4 Pb4'
_cell_length_a 6.620
_cell_length_b 6.620
_cell_length_c 6.620
_cell_angle_alpha 90.00
_cell_angle_beta 90.00
_cell_angle_gamma 90.00
_space_group_name_H-M_alt 'F m -3 m'
_space_group_IT_number 225
_space_group_name_Hall '-F 4 2 3'
loop_
_atom_site_label
_atom_site_type_symbol
_atom_site_fract_x
_atom_site_fract_y
_atom_site_fract_z
Tc1 Tc 0.250 0.250 0.250
Sn1 Sn 0.000 0.000 0.000
Pb1 Pb 0.000 0.000 0.500
```

* ΔE to the lowest computed polymorph: 0 meV/atom
* DOS(E_F): 1.5385 states/eV per atom

Below is a relaxed structure of La2Ho2TmHg5, with properties calculated at the PBE level.

Cell and atoms, written as CIF:
```
data_La2Ho2TmHg5
_chemical_formula_sum 'La4 Ho4 Tm2 Hg10'
_cell_length_a 12.063
_cell_length_b 12.063
_cell_length_c 3.890
_cell_angle_alpha 90.00
_cell_angle_beta 90.00
_cell_angle_gamma 90.00
_space_group_name_H-M_alt 'P 4/m b m'
_space_group_IT_number 127
_space_group_name_Hall '-P 4 2ab'
loop_
_atom_site_label
_atom_site_type_symbol
_atom_site_fract_x
_atom_site_fract_y
_atom_site_fract_z
La1 La 0.170 0.330 0.000
Ho1 Ho 0.133 0.633 0.000
Tm1 Tm 0.000 0.000 0.000
Hg1 Hg 0.000 0.500 0.500
Hg2 Hg 0.090 0.826 0.500
```

* DOS(E_F): 0.7211 states/eV per atom
* total energy: -2.854 eV per atom

Q: Among the records above, which one has the lowest DOS(E_F)?
A: MgP2Pb

Q: Among the records above, which one has the highest DOS(E_F)?
A: CeThBiP

Q: The highest DOS(E_F) belongs to which entry?
A: CeThBiP